Entry from Alexandria via LeMat-Bulk: a relaxed Sr2CaMg crystal (PBEsol).

Cell lengths 5.441, 5.441, 10.918 Å; angles 90.00, 90.00, 90.00 degrees
Space group I-4m2 (No. 119)
Symmetry-distinct sites (fractional):
Sr: 0.000 0.000 0.000 [2 per cell]
Sr: 0.000 0.500 0.250 [2 per cell]
Ca: 0.000 0.000 0.500 [2 per cell]
Mg: 0.000 0.500 0.750 [2 per cell]

Computed properties:
Density of states at the Fermi level: 9.32 states/eV/cell
Total magnetization: 0.0 μB/f.u.
E_form: 42 meV per atom

=====

Entry from Alexandria via LeMat-Bulk: a relaxed BeGa3Si crystal (PBEsol).

Cell lengths 4.404, 4.404, 4.404 Å; angles 90.00, 90.00, 90.00 degrees
Space group Pm-3m (No. 221)
Symmetry-distinct sites (fractional):
Be: 0.000 0.000 0.000 [1 per cell]
Ga: 0.000 0.000 0.500 [3 per cell]
Si: 0.500 0.500 0.500 [1 per cell]

Computed properties:
Raw formation energy: 2.4 eV per formula unit
Density of states at the Fermi level: 2.52 states/eV/cell
Total magnetization: 0.0 μB/f.u.

=====

Entry from Alexandria via LeMat-Bulk: a relaxed BAsO4 crystal (PBEsol).

Cell lengths 4.5684, 4.5684, 10.4179 Å; angles 90.00, 90.00, 120.00 degrees
Space group P3_121 (No. 152)
Symmetry-distinct sites (fractional):
B: 0.0000 0.5403 0.1667 [3 per cell]
As: 0.0000 0.5438 0.6667 [3 per cell]
O: 0.0786 0.3932 0.0550 [6 per cell]
O: 0.1232 0.4019 0.5369 [6 per cell]

Computed properties:
Raw formation energy: -9.9 eV per formula unit
Density of states at the Fermi level: 0.00 states/eV/cell
Total magnetization: 0.0 μB/f.u.
E above lowest polymorph: 35 meV/atom

=====

Entry from Alexandria via LeMat-Bulk: a relaxed SrRuSCl2 crystal (PBEsol).

Cell lengths 5.298, 5.298, 5.636 Å; angles 90.00, 90.00, 90.00 degrees
Space group P4/mmm (No. 123)
Symmetry-distinct sites (fractional):
Sr: 0.000 0.000 0.000 [1 per cell]
Ru: 0.500 0.500 0.500 [1 per cell]
S: 0.000 0.000 0.500 [1 per cell]
Cl: 0.000 0.500 0.000 [2 per cell]

Computed properties:
Raw formation energy: 1.4 eV per formula unit
Density of states at the Fermi level: 5.96 states/eV/cell
Total magnetization: 4.0 μB/f.u.

=====

Entry from Alexandria via LeMat-Bulk: a relaxed LaZrIn crystal (PBEsol).

Cell lengths 7.130, 7.130, 7.130 Å; angles 90.00, 90.00, 90.00 degrees
Space group F-43m (No. 216)
Symmetry-distinct sites (fractional):
La: 0.000 0.000 0.000 [4 per cell]
Zr: 0.000 0.000 0.500 [4 per cell]
In: 0.250 0.250 0.750 [4 per cell]

Computed properties:
Density of states at the Fermi level: 22.56 states/eV/cell
Total magnetization: 0.0 μB/f.u.
E_form: 202 meV per atom

=====

Entry from Alexandria via LeMat-Bulk: a relaxed SrLi2Br crystal (PBEsol).

Cell lengths 3.851, 6.314, 10.383 Å; angles 90.00, 90.00, 90.00 degrees
Space group Imm2 (No. 44)
Symmetry-distinct sites (fractional):
Sr: 0.000 0.000 0.000 [2 per cell]
Li: 0.000 0.000 0.598 [2 per cell]
Li: 0.000 0.500 0.814 [2 per cell]
Br: 0.000 0.500 0.264 [2 per cell]

Computed properties:
Raw formation energy: -2.1 eV per formula unit
Density of states at the Fermi level: 5.30 states/eV/cell
Total magnetization: 0.0 μB/f.u.
E above lowest polymorph: 123 meV/atom

=====

Entry from Alexandria via LeMat-Bulk: a relaxed MgAg2PdO crystal (PBEsol).

Cell lengths 4.759, 4.759, 4.527 Å; angles 90.00, 90.00, 90.00 degrees
Space group P4/mmm (No. 123)
Symmetry-distinct sites (fractional):
Mg: 0.000 0.000 0.000 [1 per cell]
Ag: 0.000 0.500 0.000 [2 per cell]
Pd: 0.000 0.000 0.500 [1 per cell]
O: 0.500 0.500 0.500 [1 per cell]

Computed properties:
Raw formation energy: 5.9 eV per formula unit
Density of states at the Fermi level: 2.63 states/eV/cell
Total magnetization: 0.6 μB/f.u.

=====

Entry from Alexandria via LeMat-Bulk: a relaxed MgTl2Cd crystal (PBEsol).

Cell lengths 3.498, 5.486, 10.424 Å; angles 90.00, 90.00, 90.00 degrees
Space group Immm (No. 71)
Symmetry-distinct sites (fractional):
Mg: 0.000 0.000 0.000 [2 per cell]
Tl: 0.000 0.500 0.251 [4 per cell]
Cd: 0.000 0.000 0.500 [2 per cell]

Computed properties:
Density of states at the Fermi level: 3.19 states/eV/cell
Total magnetization: 0.0 μB/f.u.
E above lowest polymorph: 37 meV/atom
E_form: 19 meV per atom